No. 1
The following is a meta-GGA SCAN calculation of a PBEsol-optimized structure of AgAs4, from Alexandria via LeMat-Bulk.

As for the total energy: -110.64 eV/cell. Its space group is I4/mmm (139). The total magnetic moment is 0.00 μB/atom.

a = 4.0011 Å, b = 5.3446 Å, c = 5.3446 Å
α = 81.95°, β = 68.02°, γ = 68.02°
Closest atoms and distances in Å follow each position.
Positions (direct):
As (0.7642, 0.7358, 0.7358)  2 As 2.62, 2 Ag 2.73
As (0.2358, 0.2642, 0.2642)  2 As 2.62, 2 Ag 2.73
As (0.5000, 0.2642, 0.7358)  2 As 2.62, 2 Ag 2.73
As (0.5000, 0.7358, 0.2642)  2 As 2.62, 2 Ag 2.73
Ag (0.0000, 0.0000, 0.0000)  8 As 2.73

No. 2
The following is a meta-GGA SCAN calculation of a PBEsol-optimized structure of SrMo2Br, from Alexandria via LeMat-Bulk.

As for the total energy: -109.23 eV/cell. For the formation energy (no corrections), the calculation gives 0.570 eV per atom. Its space group is Imm2 (44). The total magnetic moment is 0.00 μB/atom.

a = 3.3108 Å, b = 5.8854 Å, c = 5.8854 Å
α = 60.13°, β = 73.66°, γ = 73.66°
Closest atoms and distances in Å follow each position.
Positions (direct):
Sr (0.4942, 0.5058, 0.5058)  2 Br 3.15, 2 Sr 3.31, 8 Mo 3.38-3.46
Mo (0.9800, 0.0200, 0.0200)  2 Mo 2.33
Mo (0.3098, 0.1902, 0.1902)  2 Mo 2.33
Br (0.7160, 0.7840, 0.7840)  2 Mo 2.81, 2 Sr 3.15

No. 3
The following is a meta-GGA SCAN calculation of a PBEsol-optimized structure of Cs3NaH, from Alexandria via LeMat-Bulk.

As for the total energy: -121.48 eV/cell. Its space group is Pm-3m (221). The total magnetic moment is 0.15 μB/atom.

a = 6.4273 Å, b = 6.4273 Å, c = 6.4273 Å
α = 90.00°, β = 90.00°, γ = 90.00°
Closest atoms and distances in Å follow each position.
Positions (direct):
Na (0.5000, 0.5000, 0.5000)  12 Cs 4.54
Cs (0.0000, 0.5000, 0.0000)  2 H 3.21
Cs (0.0000, 0.0000, 0.5000)  2 H 3.21
Cs (0.5000, 0.0000, 0.0000)  2 H 3.21
H (0.0000, 0.0000, 0.0000)  6 Cs 3.21

No. 4
The following is a meta-GGA SCAN calculation of a PBEsol-optimized structure of KSi2Br, from Alexandria via LeMat-Bulk.

As for the total energy: -46.41 eV/cell. For the formation energy (no corrections), the calculation gives 0.352 eV per atom. Its space group is Pmmm (47). The total magnetic moment is 0.00 μB/atom.

a = 2.7618 Å, b = 5.9800 Å, c = 6.2940 Å
α = 90.00°, β = 90.00°, γ = 90.00°
Closest atoms and distances in Å follow each position.
Positions (direct):
Si (0.0000, 0.1909, 0.0000)  1 Si 2.28
Si (0.0000, 0.8091, 0.0000)  1 Si 2.28
K (0.5000, 0.0000, 0.5000)  2 K 2.76, 2 Br 2.99
Br (0.5000, 0.5000, 0.5000)  2 Br 2.76, 2 K 2.99

No. 5
The following is a meta-GGA SCAN calculation of a PBEsol-optimized structure of K2AsOs, from Alexandria via LeMat-Bulk.

As for the total energy: -105.05 eV/cell. Its space group is F-43m (216). The total magnetic moment is 0.69 μB/atom.

a = 4.9163 Å, b = 4.9163 Å, c = 4.9163 Å
α = 60.00°, β = 60.00°, γ = 60.00°
Closest atoms and distances in Å follow each position.
Positions (direct):
K (0.0000, 0.0000, 0.0000)  4 K 3.01, 4 Os 3.01
K (0.7500, 0.7500, 0.7500)  4 As 3.01, 4 K 3.01
Os (0.2500, 0.2500, 0.2500)  4 As 3.01, 4 K 3.01
As (0.5000, 0.5000, 0.5000)  4 K 3.01, 4 Os 3.01

No. 6
The following is a meta-GGA SCAN calculation of a PBEsol-optimized structure of HfTaNb2, from Alexandria via LeMat-Bulk.

As for the total energy: -195.32 eV/cell. Its space group is Fm-3m (225). The total magnetic moment is 0.00 μB/atom.

a = 4.6983 Å, b = 4.6983 Å, c = 4.6983 Å
α = 60.00°, β = 60.00°, γ = 60.00°
Closest atoms and distances in Å follow each position.
Positions (direct):
Ta (0.5000, 0.5000, 0.5000)  8 Nb 2.88
Nb (0.2500, 0.2500, 0.2500)  4 Hf 2.88, 4 Ta 2.88
Nb (0.7500, 0.7500, 0.7500)  4 Hf 2.88, 4 Ta 2.88
Hf (0.0000, 0.0000, 0.0000)  8 Nb 2.88

Among the records above, which one has the highest total magnetic moment?
K2AsOs